1.
The following is a PBE calculation of an optimized crystal structure of BeBr2, from Alexandria.

Output
formation energy without anion corrections: -737 meV/atom
energy above the lowest structure with this stoichiometry: 286 meV/atom

Cell: 3.510 3.510 6.910 Å, 90.00 90.00 120.00°
Atoms (fractional coordinates):
Be: 0.000 0.000 0.000
Br: 0.333 0.667 0.198
Br: 0.667 0.333 0.802

=====

2.
The following is a PBE calculation of an optimized crystal structure of BeBr2, from Alexandria.

Output
formation energy without anion corrections: -858 meV/atom
energy above the lowest structure with this stoichiometry: 164 meV/atom

Cell: 6.352 6.352 8.053 Å, 90.40 90.40 31.86°
Atoms (fractional coordinates):
Be: 0.000 0.000 0.000
Be: 0.738 0.738 0.719
Br: 0.278 0.278 0.564
Br: 0.536 0.536 0.173
Br: 0.560 0.560 0.767
Br: 0.821 0.821 0.963

=====

3.
The following is a PBE calculation of an optimized crystal structure of Be2Br, from Alexandria.

Output
formation energy without anion corrections: 363 meV/atom
energy above the lowest structure with this stoichiometry: 484 meV/atom

Cell: 5.669 5.669 5.669 Å, 148.11 148.11 45.72°
Atoms (fractional coordinates):
Be: 0.206 0.206 0.000
Be: 0.794 0.794 0.000
Br: 0.000 0.000 0.000